w | The following is a DFT calculation (PBE-GGA) of a relaxed AcLaGa crystal.

Values from the calculation:
Space-group type: P-62m (189)
Total moment, μB per formula unit: 0.0

abc: 8.4063 8.4063 4.7832
angles: 90.00 90.00 120.00
Last column: nearest neighbours and their distance in Å.
Fractional positions:
Ac 0.0000 0.5949 0.0000  5 Ga 3.41-3.50, 2 La 3.64
Ac 0.4051 0.4051 0.0000  5 Ga 3.41-3.50, 2 La 3.64
Ac 0.5949 0.0000 0.0000  5 Ga 3.41-3.50, 2 La 3.64
La 0.0000 0.2687 0.5000  4 Ga 3.11-3.29
La 0.2687 0.0000 0.5000  4 Ga 3.11-3.29
La 0.7313 0.7313 0.5000  4 Ga 3.11-3.29
Ga 0.0000 0.0000 0.0000  6 La 3.29, 3 Ac 3.41
Ga 0.3333 0.6667 0.5000  3 La 3.11
Ga 0.6667 0.3333 0.5000  3 La 3.11

=====

x | The following is a DFT calculation (PBE-GGA) of a relaxed AcLaGa crystal.

Values from the calculation:
Space-group type: Pnma (62)
Total moment, μB per formula unit: 0.0

abc: 8.5182 4.9646 9.3469
angles: 90.00 90.00 90.00
Last column: nearest neighbours and their distance in Å.
Fractional positions:
Ac 0.0263 0.2500 0.1680  5 Ga 3.31-3.68, 2 La 3.69
Ac 0.4737 0.7500 0.6680  5 Ga 3.31-3.68, 2 La 3.69
Ac 0.5263 0.2500 0.3320  5 Ga 3.31-3.68, 2 La 3.69
Ac 0.9737 0.7500 0.8320  5 Ga 3.31-3.68, 2 La 3.69
La 0.1386 0.2500 0.5810  4 Ga 3.08-3.18
La 0.3614 0.7500 0.0810  4 Ga 3.08-3.18
La 0.6386 0.2500 0.9190  4 Ga 3.08-3.18
La 0.8614 0.7500 0.4190  4 Ga 3.08-3.18
Ga 0.2336 0.7500 0.3897  4 La 3.08-3.18, 1 Ac 3.31
Ga 0.2664 0.2500 0.8897  4 La 3.08-3.18, 1 Ac 3.31
Ga 0.7336 0.7500 0.1103  4 La 3.08-3.18, 1 Ac 3.31
Ga 0.7664 0.2500 0.6103  4 La 3.08-3.18, 1 Ac 3.31

=====

y | The following is a DFT calculation (PBE-GGA) of a relaxed AcLaGa crystal.

Values from the calculation:
Space-group type: F-43m (216)
Total moment, μB per formula unit: 0.0

abc: 7.5127 7.5127 7.5127
angles: 90.00 90.00 90.00
Last column: nearest neighbours and their distance in Å.
Fractional positions:
Ac 0.0000 0.0000 0.0000  4 Ga 3.25
Ac 0.0000 0.5000 0.5000  4 Ga 3.25
Ac 0.5000 0.0000 0.5000  4 Ga 3.25
Ac 0.5000 0.5000 0.0000  4 Ga 3.25
La 0.0000 0.0000 0.5000  4 Ga 3.25
La 0.0000 0.5000 0.0000  4 Ga 3.25
La 0.5000 0.0000 0.0000  4 Ga 3.25
La 0.5000 0.5000 0.5000  4 Ga 3.25
Ga 0.2500 0.2500 0.2500  4 Ac 3.25, 4 La 3.25
Ga 0.2500 0.7500 0.7500  4 La 3.25, 4 Ac 3.25
Ga 0.7500 0.2500 0.7500  4 La 3.25, 4 Ac 3.25
Ga 0.7500 0.7500 0.2500  4 La 3.25, 4 Ac 3.25

=====

z | The following is a DFT calculation (PBE-GGA) of a relaxed AcLaGa crystal.

Values from the calculation:
Space-group type: I4mm (107)
Total moment, μB per formula unit: 0.1

abc: 3.9418 3.9418 12.6752
angles: 90.00 90.00 90.00
Last column: nearest neighbours and their distance in Å.
Fractional positions:
Ac 0.0000 0.0000 0.0000  4 Ga 3.38, 1 La 3.55
Ac 0.5000 0.5000 0.5000  4 Ga 3.38, 1 La 3.55
La 0.0000 0.0000 0.2804  4 Ga 3.24, 1 Ac 3.55
La 0.5000 0.5000 0.7804  4 Ga 3.24, 1 Ac 3.55
Ga 0.0000 0.0000 0.6506  4 La 3.24, 4 Ac 3.38
Ga 0.5000 0.5000 0.1506  4 La 3.24, 4 Ac 3.38

=====

Stability check: which of them is least stable? y.